Y2InCuN after structural relaxation. Source: Alexandria, functional PBE.

The structure in POSCAR format:
```
Y2InCuN
1.0
4.870 0.000 0.000
0.000 4.870 0.000
0.000 0.000 4.082
Y In Cu N
2 1 1 1
Direct
0.000 0.500 0.000
0.500 0.000 0.000
0.000 0.000 0.500
0.500 0.500 0.500
0.500 0.500 0.000
```

**Space group**: P4/mmm
**Magnetic moment**: 0.00 μB/f.u.
**Volume**: 19.36 Å³/atom
**Formation energy (no corrections)**: -0.6410 eV per atom